Ta2SiCl (GGA-PBE, optimized geometry); energy relative to the elements, uncorrected = 164 meV/atom; distance to the lowest polymorph of the same formula = 1.021 eV per formula unit; total DFT energy (no corrections) = -7.58 eV/atom
1.0
-1.9738 -3.1252 -4.3921
-0.1382 -5.7388 -0.0041
-1.5876 5.0432 2.2357
Ta Cl Si
2 1 1
Direct
0.0101 0.0101 0.0000 Ta
0.7327 0.2327 0.5000 Ta
0.5204 0.5204 0.0000 Cl
0.2368 0.7368 0.5000 Si

***

Ac3ScPb12 (GGA-PBE, optimized geometry); total DFT energy (no corrections) = -4.29 eV/atom; energy of formation from the pure elements = -33.1 kJ per mole of atoms
1.0
-1.5747 0.9396 4.6897
-4.2396 -2.5598 -0.9107
8.6774 -16.5912 6.2377
Pb Ac Sc
12 3 1
Direct
0.5000 0.0000 0.1119 Pb
0.0000 0.5000 0.3707 Pb
0.5000 0.0000 0.3707 Pb
0.5000 0.5000 0.5000 Pb
0.5000 0.5000 0.2425 Pb
0.0000 0.5000 0.6293 Pb
0.5000 0.5000 0.7575 Pb
0.0000 0.5000 0.8881 Pb
0.5000 0.0000 0.8881 Pb
0.0000 0.5000 0.1119 Pb
0.5000 0.5000 0.0000 Pb
0.5000 0.0000 0.6293 Pb
0.0000 0.0000 0.2417 Ac
0.0000 0.0000 0.7583 Ac
0.0000 0.0000 0.5000 Ac
0.0000 0.0000 0.0000 Sc

***

ReIrPdW2 (GGA-PBE, optimized geometry); total DFT energy (no corrections) = -8.30 eV/atom; energy of formation from the pure elements = 210.6 kJ per mole of atoms
1.0
4.6436 0.0000 0.0000
0.0000 4.7304 0.0000
0.0000 0.0000 4.6436
W Ir Pd Re
2 1 1 1
Direct
0.0000 0.0000 0.5000 W
0.5000 0.0000 0.0000 W
0.0000 0.0000 0.0000 Ir
0.0000 0.5000 0.0000 Pd
0.5000 0.5000 0.5000 Re

***

Ac2Pr4Nd (GGA-PBE, optimized geometry); distance to the lowest polymorph of the same formula = 3.412 eV per formula unit; total DFT energy (no corrections) = -4.07 eV/atom; energy of formation from the pure elements = 49.4 kJ per mole of atoms
1.0
5.8544 0.0000 0.0000
0.0000 5.8544 0.0000
-2.9272 -2.9272 9.0710
Pr Ac Nd
4 2 1
Direct
0.6082 0.6082 0.2163 Pr
0.3918 0.3918 0.7837 Pr
0.0000 0.5000 0.0000 Pr
0.5000 0.0000 0.0000 Pr
0.1855 0.1855 0.3711 Ac
0.8145 0.8145 0.6289 Ac
0.0000 0.0000 0.0000 Nd